(1)
RbZrTaCu2, relaxed, DFT GGA-PBEsol; ρ = 7.0 Mg/m³; ΔH_f (0 K) = 1922 meV/atom; D(E_F) = 5.0 states/eV per cell; raw total energy = -21.722 eV/cell; space-group type = P4/mmm
1.0
-3.131 -3.463 0.879
3.169 -2.152 2.809
-1.774 2.622 4.010
Ta Cu Rb Zr
1 2 1 1
direct
0.000 0.000 0.000
0.000 0.500 0.000
0.500 0.000 0.000
0.000 0.000 0.500
0.500 0.500 0.500


(2)
RbCuTe, relaxed, DFT GGA-PBEsol; ρ = 4.9 Mg/m³; raw total energy = -21.040 eV/cell; space-group type = C2/m
1.0
4.313 0.000 0.000
0.000 6.476 0.003
-2.157 -1.552 6.690
Cu Te Rb
2 2 2
direct
0.783 0.584 0.566
0.217 0.416 0.434
0.374 0.728 0.748
0.626 0.272 0.252
0.099 0.801 0.198
0.901 0.199 0.802


(3)
RbCuTe3, relaxed, DFT GGA-PBEsol; ρ = 6.0 Mg/m³; D(E_F) = 4.0 states/eV per cell; raw total energy = -16.589 eV/cell; space-group type = Pm-3m
1.0
-0.529 4.386 -2.871
-4.924 0.574 1.784
1.798 2.862 4.042
Te Cu Rb
3 1 1
direct
0.000 0.000 0.500
0.500 0.000 0.000
0.000 0.500 0.000
0.000 0.000 0.000
0.500 0.500 0.500


(4)
RbTiCu2, relaxed, DFT GGA-PBEsol; ρ = 5.4 Mg/m³; ΔH_f (0 K) = 1104 meV/atom; D(E_F) = 5.7 states/eV per cell; raw total energy = -13.601 eV/cell; space-group type = Fm-3m
1.0
4.849 0.000 0.000
2.425 4.199 0.000
2.425 1.400 3.959
Cu Rb Ti
2 1 1
direct
0.750 0.750 0.750
0.250 0.250 0.250
0.500 0.500 0.500
0.000 0.000 0.000


(5)
Rb2CuW2, relaxed, DFT GGA-PBEsol; ρ = 7.0 Mg/m³; ΔH_f (0 K) = 1282 meV/atom; D(E_F) = 3.2 states/eV per cell; raw total energy = -27.591 eV/cell; space-group type = I4/mmm
1.0
3.557 0.000 0.000
0.000 3.557 0.000
-1.779 -1.779 11.304
W Cu Rb
2 1 2
direct
0.750 0.250 0.500
0.250 0.750 0.500
0.000 0.000 0.000
0.600 0.600 0.200
0.400 0.400 0.800


(6)
RbZrCu2W, relaxed, DFT GGA-PBEsol; ρ = 7.2 Mg/m³; ΔH_f (0 K) = 2072 meV/atom; D(E_F) = 5.5 states/eV per cell; raw total energy = -22.232 eV/cell; space-group type = P4/mmm
1.0
-4.241 1.583 -1.308
-1.965 -2.259 3.638
0.639 4.100 2.891
Cu W Zr Rb
2 1 1 1
direct
0.500 0.000 0.000
0.000 0.500 0.000
0.000 0.000 0.000
0.500 0.500 0.500
0.000 0.000 0.500


(7)
CuRe, relaxed, DFT GGA-PBEsol; ρ = 16.0 Mg/m³; excess energy over the best structure of this formula in the dataset = 0.0000 eV per atom; ΔH_f (0 K) = 250 meV/atom; D(E_F) = 1.4 states/eV per cell; raw total energy = -34.333 eV/cell; space-group type = Imma
1.0
-1.903 1.711 2.260
0.730 -2.797 2.733
3.673 2.466 -1.353
Re Cu
2 2
direct
0.622 0.372 0.244
0.378 0.628 0.756
0.136 0.886 0.271
0.864 0.114 0.729


(8)
CuRe, relaxed, DFT GGA-PBEsol; ρ = 15.5 Mg/m³; excess energy over the best structure of this formula in the dataset = 0.0510 eV per atom; ΔH_f (0 K) = 301 meV/atom; D(E_F) = 2.3 states/eV per cell; raw total energy = -34.129 eV/cell; space-group type = Cmme
1.0
-1.221 1.159 1.987
-1.079 -2.329 -0.442
5.398 -3.517 5.367
Cu Re
2 2
direct
0.750 0.250 0.885
0.250 0.750 0.115
0.250 0.750 0.630
0.750 0.250 0.370


(9)
CuRe2, relaxed, DFT GGA-PBEsol; ρ = 15.7 Mg/m³; ΔH_f (0 K) = 1278 meV/atom; D(E_F) = 2.8 states/eV per cell; raw total energy = -27.165 eV/cell; space-group type = P4/mmm
1.0
-0.424 0.194 -2.518
3.067 -2.836 -0.736
-2.845 -3.137 0.237
Cu Re
1 2
direct
0.000 0.000 0.000
0.500 0.000 0.500
0.500 0.500 0.000


(10)
CuRe, relaxed, DFT GGA-PBEsol; ρ = 15.6 Mg/m³; excess energy over the best structure of this formula in the dataset = 0.0184 eV per atom; ΔH_f (0 K) = 268 meV/atom; D(E_F) = 2.5 states/eV per cell; raw total energy = -34.259 eV/cell; space-group type = Pmmn
1.0
2.614 0.000 0.000
0.000 4.311 0.000
0.000 0.000 4.711
Re Cu
2 2
direct
0.500 0.000 0.088
0.000 0.500 0.912
0.000 0.000 0.574
0.500 0.500 0.426


(11)
CuRe5, relaxed, DFT GGA-PBEsol; ρ = 19.4 Mg/m³; ΔH_f (0 K) = 96 meV/atom; D(E_F) = 4.1 states/eV per cell; raw total energy = -70.417 eV/cell; space-group type = Amm2
1.0
-0.852 -1.814 1.884
3.887 0.214 1.964
-1.915 6.217 3.112
Re Cu
5 1
direct
0.334 0.000 0.667
0.223 0.500 0.447
0.663 0.000 0.327
0.554 0.500 0.108
0.891 0.500 0.782
0.001 0.000 0.003


(12)
Cu3Re, relaxed, DFT GGA-PBEsol; ρ = 12.8 Mg/m³; ΔH_f (0 K) = 508 meV/atom; D(E_F) = 8.0 states/eV per cell; raw total energy = -24.301 eV/cell; space-group type = Pm-3m
1.0
-0.850 2.153 2.836
-2.998 -2.006 0.624
1.921 -2.177 2.229
Cu Re
3 1
direct
0.500 0.000 0.000
0.000 0.000 0.500
0.000 0.500 0.000
0.500 0.500 0.500


(13)
Cu3Re, relaxed, DFT GGA-PBEsol; ρ = 12.7 Mg/m³; ΔH_f (0 K) = 307 meV/atom; D(E_F) = 3.8 states/eV per cell; raw total energy = -25.108 eV/cell; space-group type = Imm2
1.0
-1.065 -1.878 1.230
3.922 -2.407 -0.278
-0.116 3.849 3.265
Re Cu
1 3
direct
0.000 0.673 0.000
0.248 0.242 0.496
0.500 0.172 0.000
0.752 0.746 0.504